Record 1
Below is an optimized crystal structure of Pm3Bi3Te, with properties calculated at the PBE level.

Values from the calculation:
Crystal system: monoclinic
Energy relative to the elements, uncorrected: -495 kJ/mol of formula units
SG: C2/m

a b c (Å): 7.8892 7.8892 8.4748
angles (deg): 87.02 87.02 110.17
Last column: nearest neighbours and their distance in Å.
Positions (direct):
1 Bi 0.4018 0.4018 0.6538  1 Bi 3.02, 3 Pm 3.16-3.27
2 Bi 0.7800 0.2200 0.0000  4 Pm 3.26-3.44
3 Pm 0.1646 0.4958 0.3083  1 Te 3.08, 4 Bi 3.22-3.27
4 Te 0.2662 0.2662 0.0627  4 Pm 3.08-3.19
5 Pm 0.9389 0.9389 0.2241  2 Te 3.14-3.19, 5 Bi 3.16-3.44
6 Bi 0.8368 0.1632 0.5000  6 Pm 3.22-3.26
7 Pm 0.0611 0.0611 0.7759  2 Te 3.14-3.19, 5 Bi 3.16-3.44
8 Bi 0.1632 0.8368 0.5000  6 Pm 3.22-3.26
9 Bi 0.5982 0.5982 0.3462  1 Bi 3.02, 3 Pm 3.16-3.27
10 Pm 0.4958 0.1646 0.3083  1 Te 3.08, 4 Bi 3.22-3.27
11 Pm 0.5042 0.8354 0.6917  1 Te 3.08, 4 Bi 3.22-3.27
12 Pm 0.8354 0.5042 0.6917  1 Te 3.08, 4 Bi 3.22-3.27
13 Te 0.7338 0.7338 0.9373  4 Pm 3.08-3.19
14 Bi 0.2200 0.7800 0.0000  4 Pm 3.26-3.44

Record 2
Below is an optimized crystal structure of TbY4Ho2Er2, with properties calculated at the PBE level.

Values from the calculation:
Crystal system: monoclinic
Energy: -5.4166 eV per atom
SG: C2/m

a b c (Å): 3.5784 9.4653 9.4990
angles (deg): 115.28 90.00 100.90
Last column: nearest neighbours and their distance in Å.
Positions (direct):
1 Tb 0.0000 0.0000 0.0000  6 Y 3.53, 2 Tb 3.58, 4 Er 3.59
2 Y 0.4813 0.9626 0.6653  5 Y 3.50-3.59, 4 Ho 3.52-3.58, 1 Er 3.53, 2 Tb 3.53
3 Y 0.1857 0.3715 0.3330  6 Y 3.52-3.59, 1 Tb 3.53, 2 Er 3.53, 3 Ho 3.53-3.57
4 Er 0.3328 0.6656 0.0011  3 Ho 3.50-3.51, 3 Y 3.53, 4 Er 3.55-3.58, 2 Tb 3.59
5 Y 0.8143 0.6285 0.6670  6 Y 3.52-3.59, 1 Tb 3.53, 2 Er 3.53, 3 Ho 3.53-3.57
6 Er 0.6672 0.3344 0.9989  3 Ho 3.50-3.51, 3 Y 3.53, 4 Er 3.55-3.58, 2 Tb 3.59
7 Y 0.5187 0.0374 0.3347  5 Y 3.50-3.59, 4 Ho 3.52-3.58, 1 Er 3.53, 2 Tb 3.53
8 Ho 0.1485 0.2970 0.6675  3 Er 3.50-3.51, 7 Y 3.52-3.58, 2 Ho 3.58
9 Ho 0.8515 0.7030 0.3325  3 Er 3.50-3.51, 7 Y 3.52-3.58, 2 Ho 3.58

Record 3
Below is an optimized crystal structure of CaMg2P, with properties calculated at the PBE level.

Values from the calculation:
Crystal system: cubic
Energy: -2.7863 eV per atom
SG: F-43m

a b c (Å): 5.0635 5.0635 5.0635
angles (deg): 60.00 60.00 60.00
Last column: nearest neighbours and their distance in Å.
Positions (direct):
1 Mg 0.0000 0.0000 0.0000  4 P 3.10, 4 Mg 3.10
2 Ca 0.5000 0.5000 0.5000  4 Mg 3.10, 4 P 3.10
3 Mg 0.7500 0.7500 0.7500  4 Mg 3.10, 4 Ca 3.10
4 P 0.2500 0.2500 0.2500  4 Ca 3.10, 4 Mg 3.10

Record 4
Below is an optimized crystal structure of VBi2Br, with properties calculated at the PBE level.

Values from the calculation:
Crystal system: cubic
Energy above the lowest structure with this stoichiometry: 21 meV/atom
Energy relative to the elements, uncorrected: 196 kJ/mol of formula units
SG: Fm-3m

a b c (Å): 5.2935 5.2935 5.2935
angles (deg): 60.00 60.00 60.00
Last column: nearest neighbours and their distance in Å.
Positions (direct):
1 Bi 0.2500 0.2500 0.2500  4 Br 3.24, 4 V 3.24
2 Br 0.5000 0.5000 0.5000  8 Bi 3.24
3 V 0.0000 0.0000 0.0000  8 Bi 3.24
4 Bi 0.7500 0.7500 0.7500  4 Br 3.24, 4 V 3.24

Record 5
Below is an optimized crystal structure of TbAuS2, with properties calculated at the PBE level.

Values from the calculation:
Crystal system: trigonal
Energy relative to the elements, uncorrected: -499 kJ/mol of formula units
SG: R-3m

a b c (Å): 4.1568 4.1568 7.7502
angles (deg): 74.44 74.44 60.00
Last column: nearest neighbours and their distance in Å.
Positions (direct):
1 S 0.8957 0.8957 0.3129  1 Au 2.31
2 Tb 0.5000 0.5000 0.5000  6 S 2.77
3 S 0.1043 0.1043 0.6871  1 Au 2.31
4 Au 0.0000 0.0000 0.0000  2 S 2.31

Record 6
Below is an optimized crystal structure of Cs2Cd4Hg3Pb, with properties calculated at the PBE level.

Values from the calculation:
Crystal system: tetragonal
Energy: -1.1161 eV per atom
SG: P-4m2

a b c (Å): 5.3586 5.3586 11.8381
angles (deg): 90.00 90.00 90.00
Last column: nearest neighbours and their distance in Å.
Positions (direct):
1 Cs 0.0000 0.5000 0.7527  8 Cd 3.97-4.08, 2 Pb 4.02, 7 Hg 4.02-4.37
2 Hg 0.5000 0.0000 0.8784  5 Cd 2.99-3.04
3 Hg 0.0000 0.5000 0.1216  5 Cd 2.99-3.04
4 Hg 0.0000 0.0000 0.5000  4 Cd 3.07
5 Cs 0.5000 0.0000 0.2473  8 Cd 3.97-4.08, 2 Pb 4.02, 7 Hg 4.02-4.37
6 Cd 0.5000 0.0000 0.6259  3 Hg 2.99-3.07, 2 Pb 3.07
7 Cd 0.0000 0.0000 0.0000  4 Hg 3.04
8 Cd 0.0000 0.5000 0.3741  3 Hg 2.99-3.07, 2 Pb 3.07
9 Cd 0.5000 0.5000 0.0000  4 Hg 3.04
10 Pb 0.5000 0.5000 0.5000  4 Cd 3.07

Record 7
Below is an optimized crystal structure of CaDyH, with properties calculated at the PBE level.

Values from the calculation:
Crystal system: triclinic
Energy above the lowest structure with this stoichiometry: 0 meV/atom
SG: P-1

a b c (Å): 3.7012 5.3924 10.4989
angles (deg): 90.83 45.27 89.96
Last column: nearest neighbours and their distance in Å.
Positions (direct):
1 Ca 0.5239 0.2434 0.3636  1 H 2.31
2 Ca 0.4761 0.7566 0.6364  1 H 2.31
3 H 0.9743 0.0148 0.8875  3 Dy 2.18-2.21, 1 Ca 2.31
4 Dy 0.5286 0.7624 0.1112  3 H 2.18-2.21
5 H 0.0257 0.9852 0.1125  3 Dy 2.18-2.21, 1 Ca 2.31
6 Dy 0.4714 0.2376 0.8888  3 H 2.18-2.21

Record 8
Below is an optimized crystal structure of ZrNiW4, with properties calculated at the PBE level.

Values from the calculation:
Crystal system: cubic
Energy: -10.6391 eV per atom
SG: F-43m

a b c (Å): 5.3080 5.3080 5.3080
angles (deg): 60.00 60.00 60.00
Last column: nearest neighbours and their distance in Å.
Positions (direct):
1 W 0.3755 0.3755 0.3755  6 W 2.64-2.66
2 Ni 0.0000 0.0000 0.0000  12 W 3.11, 4 Zr 3.25
3 Zr 0.7500 0.7500 0.7500  12 W 3.11, 4 Ni 3.25
4 W 0.8736 0.3755 0.3755  6 W 2.64-2.66
5 W 0.3755 0.8736 0.3755  6 W 2.64-2.66
6 W 0.3755 0.3755 0.8736  6 W 2.64-2.66

Record 9
Below is an optimized crystal structure of CeDyTaO6, with properties calculated at the PBE level.

Values from the calculation:
Crystal system: trigonal
Energy relative to the elements, uncorrected: -2775 kJ/mol of formula units
SG: P-31c

a b c (Å): 5.5701 5.5701 9.5192
angles (deg): 90.00 90.00 120.00
Last column: nearest neighbours and their distance in Å.
Positions (direct):
1 O 0.6390 0.9644 0.8662  1 Ta 2.01
2 Ce 0.0000 0.0000 0.0000  6 O 2.30
3 O 0.0356 0.3610 0.6338  1 Ta 2.01
4 Dy 0.6667 0.3333 0.7500  6 O 2.27
5 Ta 0.3333 0.6667 0.7500  6 O 2.01
6 O 0.3254 0.3610 0.8662  1 Ta 2.01
7 O 0.0356 0.6746 0.8662  1 Ta 2.01
8 O 0.3254 0.9644 0.6338  1 Ta 2.01
9 O 0.6746 0.0356 0.3662  1 Ta 2.01
10 O 0.6746 0.6390 0.1338  1 Ta 2.01
11 O 0.9644 0.3254 0.1338  1 Ta 2.01
12 O 0.9644 0.6390 0.3662  1 Ta 2.01
13 Dy 0.3333 0.6667 0.2500  6 O 2.27
14 O 0.3610 0.0356 0.1338  1 Ta 2.01
15 Ta 0.6667 0.3333 0.2500  6 O 2.01
16 Ce 0.0000 0.0000 0.5000  6 O 2.30
17 O 0.6390 0.6746 0.6338  1 Ta 2.01
18 O 0.3610 0.3254 0.3662  1 Ta 2.01

Record 10
Below is an optimized crystal structure of Pr3P2Br, with properties calculated at the PBE level.

Values from the calculation:
Crystal system: orthorhombic
Energy relative to the elements, uncorrected: -611 kJ/mol of formula units
SG: Cmcm

a b c (Å): 4.8432 7.0995 10.9260
angles (deg): 90.00 90.00 109.94
Last column: nearest neighbours and their distance in Å.
Positions (direct):
1 P 0.0000 0.0000 0.0000  6 Pr 2.94-2.96
2 P 0.5141 0.0283 0.2500  4 Pr 2.73-2.74
3 Pr 0.9186 0.8373 0.2500  4 P 2.74-2.94
4 P 0.4859 0.9717 0.7500  4 Pr 2.73-2.74
5 P 0.0000 0.0000 0.5000  6 Pr 2.94-2.96
6 Br 0.2465 0.4930 0.2500  8 Pr 3.34-3.73, 1 P 3.57
7 Pr 0.6230 0.2460 0.4620  3 P 2.73-2.96
8 Pr 0.6230 0.2460 0.0380  3 P 2.73-2.96
9 Pr 0.0814 0.1627 0.7500  4 P 2.74-2.94
10 Br 0.7535 0.5070 0.7500  8 Pr 3.34-3.73, 1 P 3.57
11 Pr 0.3770 0.7540 0.5380  3 P 2.73-2.96
12 Pr 0.3770 0.7540 0.9620  3 P 2.73-2.96

Record 11
Below is an optimized crystal structure of ScTl, with properties calculated at the PBE level.

Values from the calculation:
Crystal system: hexagonal
Energy: -3.9896 eV per atom
SG: P6_3/mmc

a b c (Å): 5.1054 5.1055 5.8106
angles (deg): 90.00 90.00 120.00
Last column: nearest neighbours and their distance in Å.
Positions (direct):
1 Tl 0.6667 0.3333 0.2500  5 Sc 2.91-2.95
2 Sc 0.3333 0.6667 0.2500  5 Tl 2.91-2.95
3 Tl 0.3333 0.6667 0.7500  5 Sc 2.91-2.95
4 Sc 0.6667 0.3333 0.7500  5 Tl 2.91-2.95

Record 12
Below is an optimized crystal structure of BaY2, with properties calculated at the PBE level.

Values from the calculation:
Crystal system: orthorhombic
Energy above the lowest structure with this stoichiometry: 262 meV/atom
SG: Imma

a b c (Å): 11.0643 11.0643 11.0643
angles (deg): 160.58 146.91 38.65
Last column: nearest neighbours and their distance in Å.
Positions (direct):
1 Ba 0.3866 0.6366 0.7500  2 Ba 3.73, 6 Y 3.80-3.96
2 Y 0.7807 0.0307 0.7500  3 Y 3.22-3.40
3 Y 0.0651 0.8151 0.2500  3 Y 3.22-3.30
4 Y 0.2193 0.9693 0.2500  3 Y 3.22-3.40
5 Ba 0.6134 0.3634 0.2500  2 Ba 3.73, 6 Y 3.80-3.96
6 Y 0.9349 0.1849 0.7500  3 Y 3.22-3.30

Record 13
Below is an optimized crystal structure of CdSiRh2, with properties calculated at the PBE level.

Values from the calculation:
Crystal system: trigonal
Energy relative to the elements, uncorrected: -8 kJ/mol of formula units
SG: R3m

a b c (Å): 8.8407 8.8407 8.8407
angles (deg): 18.90 18.90 18.90
Last column: nearest neighbours and their distance in Å.
Positions (direct):
1 Cd 0.7497 0.7497 0.7497  3 Rh 2.81, 6 Cd 2.90, 3 Si 2.98
2 Si 0.5109 0.5109 0.5109  3 Rh 2.39
3 Rh 0.2430 0.2430 0.2430  3 Si 2.39
4 Rh 0.9963 0.9963 0.9963  9 Rh 2.81-2.90, 3 Cd 2.81

Record 14
Below is an optimized crystal structure of CrGa2Pt, with properties calculated at the PBE level.

Values from the calculation:
Crystal system: tetragonal
Energy: -5.4260 eV per atom
SG: I-42d

a b c (Å): 7.0408 7.0408 5.6841
angles (deg): 51.73 51.73 90.00
Last column: nearest neighbours and their distance in Å.
Positions (direct):
1 Ga 0.3750 0.3608 0.7500  2 Pt 2.51, 2 Cr 2.65, 2 Ga 2.75
2 Ga 0.6392 0.1250 0.2500  2 Pt 2.51, 2 Cr 2.65, 2 Ga 2.75
3 Pt 0.0000 0.0000 0.0000  4 Ga 2.51, 2 Cr 2.74
4 Pt 0.7500 0.2500 0.5000  4 Ga 2.51, 2 Cr 2.74
5 Ga 0.1108 0.6250 0.2500  2 Pt 2.51, 2 Cr 2.65, 2 Ga 2.75
6 Ga 0.8750 0.8892 0.7500  2 Pt 2.51, 2 Cr 2.65, 2 Ga 2.75
7 Cr 0.2500 0.7500 0.5000  4 Ga 2.65, 2 Pt 2.74
8 Cr 0.5000 0.5000 0.0000  4 Ga 2.65, 2 Pt 2.74

Record 15
Below is an optimized crystal structure of La6AsRh2Br3, with properties calculated at the PBE level.

Values from the calculation:
Crystal system: monoclinic
Energy relative to the elements, uncorrected: -1445 kJ/mol of formula units
SG: C2/m

a b c (Å): 7.4178 7.4178 8.0948
angles (deg): 98.68 98.68 120.09
Last column: nearest neighbours and their distance in Å.
Positions (direct):
1 La 0.5833 0.9306 0.7967  2 Rh 2.87-2.89, 1 As 3.02
2 La 0.2798 0.2798 0.7961  2 Rh 2.89, 1 As 3.01
3 Br 0.8381 0.1619 0.5000  6 La 3.33-3.41
4 La 0.4167 0.0694 0.2033  2 Rh 2.87-2.89, 1 As 3.02
5 La 0.0694 0.4167 0.2033  2 Rh 2.87-2.89, 1 As 3.02
6 La 0.9306 0.5833 0.7967  2 Rh 2.87-2.89, 1 As 3.02
7 As 0.0000 0.0000 0.0000  6 La 3.01-3.02
8 Br 0.1619 0.8381 0.5000  6 La 3.33-3.41
9 Rh 0.3328 0.6672 0.0000  6 La 2.87-2.89
10 Br 0.5000 0.5000 0.5000  6 La 3.28-3.41
11 La 0.7202 0.7202 0.2039  2 Rh 2.89, 1 As 3.01
12 Rh 0.6672 0.3328 0.0000  6 La 2.87-2.89

Record 16
Below is an optimized crystal structure of Rb2Ag2F, with properties calculated at the PBE level.

Values from the calculation:
Crystal system: tetragonal
Energy above the lowest structure with this stoichiometry: 432 meV/atom
Energy relative to the elements, uncorrected: -232 kJ/mol of formula units
SG: I4/mmm

a b c (Å): 6.8386 6.8386 6.1007
angles (deg): 55.91 55.91 90.00
Last column: nearest neighbours and their distance in Å.
Positions (direct):
1 Rb 0.2500 0.7500 0.5000  4 Ag 3.46, 2 Rb 3.72
2 Ag 0.6793 0.6793 0.6414  1 F 2.39, 1 Ag 2.67
3 Rb 0.7500 0.2500 0.5000  4 Ag 3.46, 2 Rb 3.72
4 Ag 0.3207 0.3207 0.3586  1 F 2.39, 1 Ag 2.67
5 F 0.0000 0.0000 0.0000  2 Ag 2.39

Record 17
Below is an optimized crystal structure of HgPN, with properties calculated at the PBE level.

Values from the calculation:
Crystal system: triclinic
Energy relative to the elements, uncorrected: 52 kJ/mol of formula units
SG: P-1

a b c (Å): 2.9459 6.1632 7.9445
angles (deg): 115.14 97.74 90.00
Last column: nearest neighbours and their distance in Å.
Positions (direct):
1 P 0.2609 0.8377 0.5302  3 N 1.77-1.81
2 Hg 0.6129 0.3308 0.1290  2 Hg 2.95, 1 P 3.27
3 P 0.7391 0.1623 0.4698  3 N 1.77-1.81
4 Hg 0.3871 0.6692 0.8710  2 Hg 2.95, 1 P 3.27
5 N 0.2064 0.9914 0.3799  3 P 1.77-1.81
6 N 0.7936 0.0086 0.6201  3 P 1.77-1.81

Record 18
Below is an optimized crystal structure of Ca2CeThBi4, with properties calculated at the PBE level.

Values from the calculation:
Crystal system: monoclinic
Energy: -4.8724 eV per atom
SG: P2/m

a b c (Å): 4.6404 8.0380 7.9078
angles (deg): 109.79 90.00 90.00
Last column: nearest neighbours and their distance in Å.
Positions (direct):
1 Ca 0.0000 0.5000 0.5000  6 Bi 3.31
2 Bi 0.5000 0.2440 0.2407  2 Ce 3.21, 1 Th 3.24, 3 Ca 3.28-3.31
3 Ca 0.5000 0.0000 0.5000  6 Bi 3.28
4 Bi 0.0000 0.2493 0.7562  1 Ce 3.22, 2 Th 3.25, 3 Ca 3.28-3.31
5 Th 0.5000 0.5000 0.0000  6 Bi 3.24-3.25
6 Ce 0.0000 0.0000 0.0000  6 Bi 3.21-3.22
7 Bi 0.0000 0.7507 0.2438  1 Ce 3.22, 2 Th 3.25, 3 Ca 3.28-3.31
8 Bi 0.5000 0.7560 0.7593  2 Ce 3.21, 1 Th 3.24, 3 Ca 3.28-3.31

Record 19
Below is an optimized crystal structure of HfNbSeBr2, with properties calculated at the PBE level.

Values from the calculation:
Crystal system: tetragonal
Energy above the lowest structure with this stoichiometry: 212 meV/atom
Energy relative to the elements, uncorrected: 210 kJ/mol of formula units
SG: P4/mmm

a b c (Å): 5.1161 5.1161 5.1044
angles (deg): 90.00 90.00 90.00
Last column: nearest neighbours and their distance in Å.
Positions (direct):
1 Br 0.0000 0.5000 0.0000  2 Nb 2.56
2 Br 0.5000 0.0000 0.0000  2 Nb 2.56
3 Hf 0.5000 0.5000 0.5000  8 Br 3.61, 4 Se 3.62
4 Nb 0.0000 0.0000 0.0000  2 Se 2.55, 4 Br 2.56
5 Se 0.0000 0.0000 0.5000  2 Nb 2.55

Record 20
Below is an optimized crystal structure of Ni5Rh, with properties calculated at the PBE level.

Values from the calculation:
Crystal system: monoclinic
Energy: -5.9227 eV per atom
SG: P2/m

a b c (Å): 4.1204 2.5107 6.8120
angles (deg): 94.48 90.00 90.00
Last column: nearest neighbours and their distance in Å.
Positions (direct):
1 Ni 0.0000 0.0395 0.8250  7 Ni 2.39-2.58, 2 Rh 2.61
2 Ni 0.0000 0.9605 0.1750  7 Ni 2.39-2.58, 2 Rh 2.61
3 Ni 0.0000 0.5000 0.5000  10 Ni 2.45-2.58
4 Ni 0.5000 0.8501 0.6574  7 Ni 2.33-2.51, 1 Rh 2.56
5 Ni 0.5000 0.1499 0.3426  7 Ni 2.33-2.51, 1 Rh 2.56
6 Rh 0.5000 0.5000 0.0000  2 Rh 2.51, 12 Ni 2.56-2.78

no.,theoretical density (g cm⁻³)
1,8.01
2,6.88
3,2.16
4,8.69
5,6.32
6,7.45
7,4.54
8,13.90
9,7.53
10,5.31
11,6.31
12,4.26
13,9.08
14,9.44
15,6.12
16,3.87
17,6.32
18,7.71
19,6.34
20,9.37